No. 1
Computed, not measured: an optimized crystal structure of TcMoOs2 at the PBE level of DFT.

extended XYZ file:
```
4
Lattice="2.892 0.000 0.000 0.000 4.556 0.000 0.000 0.000 4.552" Properties=species:S:1:pos:R:3 pbc="T T T"
Mo 0.000 2.278 2.276
Os 1.446 2.278 0.000
Tc 1.446 0.000 2.276
Os 0.000 0.000 0.000
```


No. 2
Computed, not measured: an optimized crystal structure of TcMoOs2 at the PBE level of DFT.

extended XYZ file:
```
4
Lattice="0.241 -2.623 -0.810 2.408 0.593 -1.204 3.726 -1.700 6.614" Properties=species:S:1:pos:R:3 pbc="T T T"
Os 1.844 -0.841 3.274
Mo 4.119 -2.290 3.954
Tc 2.256 -1.440 0.647
Os 0.019 -0.009 0.033
```


No. 3
Computed, not measured: an optimized crystal structure of TcMoOs4 at the PBE level of DFT.

extended XYZ file:
```
6
Lattice="-0.763 -4.525 -2.201 -4.600 -2.172 0.175 -2.819 -0.332 -4.224" Properties=species:S:1:pos:R:3 pbc="T T T"
Tc -6.136 -5.272 -4.688
Mo 0.000 0.000 0.000
Os -3.450 -4.897 -3.444
Os -3.069 -2.637 -2.345
Os -4.477 -2.803 -4.455
Os -5.367 -3.721 -2.258
```


No. 4
Computed, not measured: an optimized crystal structure of TcMoOs2 at the PBE level of DFT.

extended XYZ file:
```
4
Lattice="-1.655 1.734 -1.366 1.772 -0.915 -3.310 -3.646 -4.121 -0.813" Properties=species:S:1:pos:R:3 pbc="T T T"
Tc -1.779 -2.011 -0.397
Mo -2.688 -2.696 -2.950
Os -0.025 -0.028 -0.005
Os -0.859 -0.628 -2.542
```


No. 5
Computed, not measured: an optimized crystal structure of TcMoOs2 at the PBE level of DFT.

extended XYZ file:
```
8
Lattice="-3.595 4.209 -0.935 -2.218 -2.850 -4.298 -6.606 -1.705 0.874" Properties=species:S:1:pos:R:3 pbc="T T T"
Mo -2.907 0.679 -2.616
Mo -5.866 -1.938 -3.020
Os -4.202 1.879 -0.910
Tc -6.554 1.592 -1.339
Tc 0.000 0.000 0.000
Os -10.058 -0.110 -3.954
Os -3.461 -1.712 -2.578
Os -7.119 -0.748 -1.275
```


No. 6
Computed, not measured: an optimized crystal structure of TcMoOs3 at the PBE level of DFT.

extended XYZ file:
```
5
Lattice="4.645 0.000 0.000 0.000 4.645 0.000 0.000 0.000 4.645" Properties=species:S:1:pos:R:3 pbc="T T T"
Mo 0.000 0.000 0.000
Os 2.323 0.000 0.000
Os 0.000 2.323 0.000
Tc 2.323 2.323 2.323
Os 0.000 0.000 2.323
```


No. 7
Computed, not measured: an optimized crystal structure of Tc2MoOs5 at the PBE level of DFT.

extended XYZ file:
```
8
Lattice="5.279 -0.388 -1.569 -3.026 4.342 -1.573 0.106 0.191 5.184" Properties=species:S:1:pos:R:3 pbc="T T T"
Os -0.553 3.076 -1.657
Tc 2.971 1.179 0.910
Tc -1.165 3.573 0.957
Os 3.709 0.907 3.524
Mo 2.204 3.070 2.740
Os 0.338 1.389 1.719
Os 1.464 3.366 0.148
Os 0.973 0.901 -0.873
```


No. 8
Computed, not measured: an optimized crystal structure of TcMoOs2 at the PBE level of DFT.

extended XYZ file:
```
4
Lattice="2.749 0.009 0.000 -0.009 2.749 0.000 0.000 0.000 7.852" Properties=species:S:1:pos:R:3 pbc="T T T"
Mo 1.370 1.379 5.925
Os 0.000 0.000 0.042
Tc 0.000 0.000 3.843
Os 1.370 1.379 1.967
```


No. 9
Computed, not measured: an optimized crystal structure of TcMoOs3 at the PBE level of DFT.

extended XYZ file:
```
10
Lattice="4.030 1.797 -2.623 2.150 8.381 0.030 -0.018 0.187 5.206" Properties=species:S:1:pos:R:3 pbc="T T T"
Tc 5.386 7.377 1.279
Os 5.251 9.582 -0.112
Os 3.652 7.045 -1.154
Os 1.510 3.188 0.086
Os 3.109 5.725 1.128
Os 1.539 3.402 2.553
Os 5.204 9.554 2.627
Mo 3.230 8.607 1.240
Mo 3.531 4.163 -1.266
Tc 4.311 3.186 1.263
```


No. 10
Computed, not measured: an optimized crystal structure of TcMoOs3 at the PBE level of DFT.

extended XYZ file:
```
5
Lattice="4.622 0.000 0.000 0.000 4.622 0.000 0.000 0.000 4.622" Properties=species:S:1:pos:R:3 pbc="T T T"
Os 2.311 0.000 0.000
Os 0.000 0.000 2.311
Mo 2.311 2.311 2.311
Tc 0.000 0.000 0.000
Os 0.000 2.311 0.000
```


No. 11
Computed, not measured: an optimized crystal structure of TcMoOs2 at the PBE level of DFT.

extended XYZ file:
```
4
Lattice="-1.477 2.005 4.087 -4.763 -0.321 0.351 3.377 -3.259 -0.940" Properties=species:S:1:pos:R:3 pbc="T T T"
Tc -3.120 0.842 2.219
Os 0.000 0.000 0.000
Os -2.253 -1.369 0.815
Mo -0.610 -0.206 2.683
```


No. 12
Computed, not measured: an optimized crystal structure of Tc4MoOs at the PBE level of DFT.

extended XYZ file:
```
6
Lattice="0.000 3.574 3.574 3.574 0.000 3.574 3.574 3.574 0.000" Properties=species:S:1:pos:R:3 pbc="T T T"
Tc 4.471 4.471 4.471
Tc 2.676 2.676 4.471
Mo 1.787 1.787 1.787
Os 0.000 0.000 0.000
Tc 4.471 2.676 2.676
Tc 2.676 4.471 2.676
```


Result set for total energy: -10.51 -10.86 -10.52 -10.82 -9.52 -8.52 -11.04 -10.80 -10.54 -8.63 -10.85 -10.33 eV per atom, one per record in the order listed.
Result set for ΔH_f (0 K): 0.40 0.05 0.50 0.10 1.40 2.45 -0.07 0.11 0.44 2.35 0.07 0.26 eV per atom, one per record in the order listed.